The following is a PBE calculation of a geometry-optimized CdTcNiHg2 structure, from the Alexandria database.

Summary:
V, Å³ per cell: 133
SG: P4/mmm, No. 123
M_tot, μB per formula unit: 4.12
N(E_F), states/eV per atom: 1.14
Energy of formation from the pure elements, eV/atom: 1.486
Total energy, eV per formula unit: -10.2

a = 5.2530 Å, b = 4.8093 Å, c = 5.2530 Å
α = 90.00°, β = 90.00°, γ = 90.00°
Each line ends with the local moment (μB).
Sites, in units of the cell vectors:
Hg 0.5000 0.0000 0.0000  0.00
Hg 0.0000 0.0000 0.5000  0.00
Cd 0.0000 0.0000 0.0000  -0.01
Ni 0.0000 0.5000 0.0000  0.18
Tc 0.5000 0.5000 0.5000  3.54